Below is TiSe3S after structural relaxation, with properties calculated at the GGA-PBE level.

- Spin magnetization: 0.108 μB per cell
- Formation energy from raw total energies: 0.47 eV per atom
- VASP energy: -4.02 eV per atom
- E above lowest polymorph: 1.75 eV/f.u.
- Density: 4814 kg/m³

Structure (CIF):
```
data_TiSe3S
_chemical_formula_sum 'Ti1 Se3 S1'
_cell_length_a 4.781
_cell_length_b 4.781
_cell_length_c 4.781
_cell_angle_alpha 90.00
_cell_angle_beta 90.00
_cell_angle_gamma 90.00
_symmetry_space_group_name_H-M 'P 1'
_symmetry_Int_Tables_number 1
loop_
_symmetry_equiv_pos_as_xyz
'x,y,z'
loop_
_atom_site_label
_atom_site_fract_x
_atom_site_fract_y
_atom_site_fract_z
Ti1 0.500 0.500 0.500
S1 0.000 0.000 0.000
Se1 0.000 0.500 0.000
Se2 0.500 0.000 0.000
Se3 0.000 0.000 0.500
```

=====

Below is Tb2PuScTe4 after structural relaxation, with properties calculated at the GGA-PBE level.

- Spin magnetization: 6.066 μB per cell
- Formation energy from raw total energies: -1.21 eV per atom
- VASP energy: -6.52 eV per atom
- Density: 8040 kg/m³

Structure (CIF):
```
data_Tb2PuScTe4
_chemical_formula_sum 'Tb2 Pu1 Sc1 Te4'
_cell_length_a 4.313
_cell_length_b 7.519
_cell_length_c 7.530
_cell_angle_alpha 109.10
_cell_angle_beta 90.00
_cell_angle_gamma 90.00
_symmetry_space_group_name_H-M 'P 1'
_symmetry_Int_Tables_number 1
loop_
_symmetry_equiv_pos_as_xyz
'x,y,z'
loop_
_atom_site_label
_atom_site_fract_x
_atom_site_fract_y
_atom_site_fract_z
Te1 0.500 0.761 0.759
Te2 0.000 0.243 0.753
Tb1 0.500 0.000 0.500
Te3 0.500 0.239 0.241
Tb2 0.000 0.500 0.500
Pu1 0.500 0.500 0.000
Te4 0.000 0.757 0.247
Sc1 0.000 0.000 0.000
```

=====

Below is SrZrB2 after structural relaxation, with properties calculated at the GGA-PBE level.

- Spin magnetization: 0.000 μB per cell
- VASP energy: -5.09 eV per atom
- E above lowest polymorph: 0.00 eV/f.u.
- ΔE_f: 3.23 eV/f.u.
- Density: 4980 kg/m³

Structure (CIF):
```
data_SrZrB2
_chemical_formula_sum 'Sr1 Zr1 B2'
_cell_length_a 4.555
_cell_length_b 4.555
_cell_length_c 4.555
_cell_angle_alpha 60.00
_cell_angle_beta 60.00
_cell_angle_gamma 60.00
_symmetry_space_group_name_H-M 'P 1'
_symmetry_Int_Tables_number 1
loop_
_symmetry_equiv_pos_as_xyz
'x,y,z'
loop_
_atom_site_label
_atom_site_fract_x
_atom_site_fract_y
_atom_site_fract_z
Zr1 0.500 0.500 0.500
B1 0.750 0.750 0.750
B2 0.250 0.250 0.250
Sr1 0.000 0.000 0.000
```

=====

Below is Ca2SbAs after structural relaxation, with properties calculated at the GGA-PBE level.

- Spin magnetization: 0.000 μB per cell
- Formation energy from raw total energies: -0.30 eV per atom
- VASP energy: -3.49 eV per atom
- Density: 4310 kg/m³

Structure (CIF):
```
data_Ca2SbAs
_chemical_formula_sum 'Ca2 Sb1 As1'
_cell_length_a 5.323
_cell_length_b 5.323
_cell_length_c 5.323
_cell_angle_alpha 60.00
_cell_angle_beta 60.00
_cell_angle_gamma 60.00
_symmetry_space_group_name_H-M 'P 1'
_symmetry_Int_Tables_number 1
loop_
_symmetry_equiv_pos_as_xyz
'x,y,z'
loop_
_atom_site_label
_atom_site_fract_x
_atom_site_fract_y
_atom_site_fract_z
Ca1 0.250 0.250 0.250
Sb1 0.750 0.750 0.750
Ca2 0.000 0.000 0.000
As1 0.500 0.500 0.500
```

=====

Below is ScCo2BSb after structural relaxation, with properties calculated at the GGA-PBE level.

- Spin magnetization: 3.073 μB per cell
- Formation energy from raw total energies: 1.55 eV per atom
- VASP energy: -4.72 eV per atom
- Density: 4261 kg/m³

Structure (CIF):
```
data_ScCo2BSb
_chemical_formula_sum 'Sc1 Co2 B1 Sb1'
_cell_length_a 4.615
_cell_length_b 5.404
_cell_length_c 4.615
_cell_angle_alpha 90.00
_cell_angle_beta 90.00
_cell_angle_gamma 90.00
_symmetry_space_group_name_H-M 'P 1'
_symmetry_Int_Tables_number 1
loop_
_symmetry_equiv_pos_as_xyz
'x,y,z'
loop_
_atom_site_label
_atom_site_fract_x
_atom_site_fract_y
_atom_site_fract_z
Co1 0.500 0.000 0.000
Co2 0.000 0.000 0.500
Sb1 0.000 0.000 0.000
B1 0.500 0.500 0.500
Sc1 0.000 0.500 0.000
```

=====

Below is Li2AsC after structural relaxation, with properties calculated at the GGA-PBE level.

- Spin magnetization: 0.000 μB per cell
- VASP energy: -3.99 eV per atom
- E above lowest polymorph: 0.00 eV/f.u.
- ΔE_f: 1.75 eV/f.u.
- Density: 2266 kg/m³

Structure (CIF):
```
data_Li2AsC
_chemical_formula_sum 'Li4 As2 C2'
_cell_length_a 8.551
_cell_length_b 8.551
_cell_length_c 6.375
_cell_angle_alpha 47.88
_cell_angle_beta 47.88
_cell_angle_gamma 90.00
_symmetry_space_group_name_H-M 'P 1'
_symmetry_Int_Tables_number 1
loop_
_symmetry_equiv_pos_as_xyz
'x,y,z'
loop_
_atom_site_label
_atom_site_fract_x
_atom_site_fract_y
_atom_site_fract_z
Li1 0.375 0.617 0.750
Li2 0.875 0.633 0.750
As1 0.750 0.250 0.500
C1 0.500 0.500 0.000
Li3 0.383 0.125 0.250
As2 0.000 0.000 0.000
C2 0.250 0.750 0.500
Li4 0.367 0.625 0.250
```

=====

Below is FeTeOs after structural relaxation, with properties calculated at the GGA-PBE level.

- Spin magnetization: 2.945 μB per cell
- Formation energy from raw total energies: 0.75 eV per atom
- VASP energy: -6.86 eV per atom
- E above lowest polymorph: 0.96 eV/f.u.
- Density: 12226 kg/m³

Structure (CIF):
```
data_FeTeOs
_chemical_formula_sum 'Fe1 Te1 Os1'
_cell_length_a 4.420
_cell_length_b 4.420
_cell_length_c 3.000
_cell_angle_alpha 90.00
_cell_angle_beta 90.00
_cell_angle_gamma 120.00
_symmetry_space_group_name_H-M 'P 1'
_symmetry_Int_Tables_number 1
loop_
_symmetry_equiv_pos_as_xyz
'x,y,z'
loop_
_atom_site_label
_atom_site_fract_x
_atom_site_fract_y
_atom_site_fract_z
Te1 0.333 0.667 0.501
Os1 0.667 0.333 0.499
Fe1 0.000 0.000 0.000
```

=====

Below is MgZrSc2S after structural relaxation, with properties calculated at the GGA-PBE level.

- Spin magnetization: 0.000 μB per cell
- Formation energy from raw total energies: -0.64 eV per atom
- VASP energy: -6.02 eV per atom
- Density: 3435 kg/m³

Structure (CIF):
```
data_MgZrSc2S
_chemical_formula_sum 'Mg1 Zr1 Sc2 S1'
_cell_length_a 4.838
_cell_length_b 4.838
_cell_length_c 4.905
_cell_angle_alpha 90.00
_cell_angle_beta 90.00
_cell_angle_gamma 90.00
_symmetry_space_group_name_H-M 'P 1'
_symmetry_Int_Tables_number 1
loop_
_symmetry_equiv_pos_as_xyz
'x,y,z'
loop_
_atom_site_label
_atom_site_fract_x
_atom_site_fract_y
_atom_site_fract_z
Sc1 0.000 0.500 0.000
Zr1 0.000 0.000 0.500
S1 0.000 0.000 0.000
Mg1 0.500 0.500 0.500
Sc2 0.500 0.000 0.000
```

=====

- The highest VASP energy belongs to which entry?
  Ca2SbAs